(1)
VASP calculation (PBE) on a relaxed SmHg2Pd crystal.

Cell: 7.0789 7.0789 7.0789 Å, 90.00 90.00 90.00°
Space group Fm-3m (No. 225)
Symmetry-distinct sites (fractional):
Sm1 0.0000 0.0000 0.0000 x4
Hg1 0.2500 0.2500 0.2500 x8
Pd1 0.0000 0.0000 0.5000 x4

Properties
Uncorrected energy: -3.080 eV/atom
V: 22.2 Å³/atom
DFT formation energy: -0.451 eV per atom



(2)
VASP calculation (PBE) on a relaxed Cs3Rb2TlBr6 crystal.

Cell: 22.0431 5.0591 10.1115 Å, 90.00 103.40 90.00°
Space group C2/m (No. 12)
Symmetry-distinct sites (fractional):
Cs1 0.0000 0.0000 0.0000 x2
Cs2 0.1663 0.5000 0.3339 x4
Rb1 0.1658 0.5000 0.8310 x4
Tl1 0.0000 0.0000 0.5000 x2
Br1 0.0028 0.5000 0.7363 x4
Br2 0.1611 0.0000 0.5889 x4
Br3 0.1697 0.0000 0.0754 x4

Properties
Uncorrected energy: -3.025 eV/atom
V: 45.7 Å³/atom



(3)
VASP calculation (PBE) on a relaxed In3ReP crystal.

Cell: 5.0842 5.0842 5.0842 Å, 90.00 90.00 90.00°
Space group Pm-3m (No. 221)
Symmetry-distinct sites (fractional):
In1 0.0000 0.0000 0.5000 x3
Re1 0.5000 0.5000 0.5000 x1
P1 0.0000 0.0000 0.0000 x1

Properties
Uncorrected energy: -3.883 eV/atom
Distance to the lowest polymorph of the same formula: 386 meV per atom
V: 26.3 Å³/atom
DFT formation energy: 1.332 eV per atom



(4)
VASP calculation (PBE) on a relaxed Ac4CdGaAg2 crystal.

Cell: 5.6291 5.6291 27.6510 Å, 90.00 90.00 120.00°
Space group R-3m (No. 166, hexagonal axes)
Symmetry-distinct sites (fractional):
Ac1 0.0000 0.0000 0.1218 x6
Ac2 0.0000 0.0000 0.3722 x6
Cd1 0.0000 0.0000 0.5000 x3
Ga1 0.0000 0.0000 0.0000 x3
Ag1 0.0000 0.0000 0.2465 x6

Properties
Uncorrected energy: -3.574 eV/atom
V: 31.6 Å³/atom
DFT formation energy: -0.314 eV per atom



(5)
VASP calculation (PBE) on a relaxed Pr2SmThAs4 crystal.

Cell: 7.3866 4.2741 7.4019 Å, 90.00 109.43 90.00°
Space group P2/m (No. 10)
Symmetry-distinct sites (fractional):
Pr1 0.0000 0.0000 0.0000 x1
Pr2 0.5000 0.5000 0.0000 x1
Sm1 0.0000 0.5000 0.5000 x1
Th1 0.5000 0.0000 0.5000 x1
As1 0.2487 0.0000 0.7437 x2
As2 0.2521 0.5000 0.2558 x2

Properties
Uncorrected energy: -6.546 eV/atom
V: 27.5 Å³/atom
DFT formation energy: -1.509 eV per atom



(6)
VASP calculation (PBE) on a relaxed CoSn2PtI crystal.

Cell: 5.0999 5.0999 4.7384 Å, 90.00 90.00 90.00°
Space group P4/mmm (No. 123)
Symmetry-distinct sites (fractional):
Co1 0.0000 0.0000 0.0000 x1
Sn1 0.0000 0.5000 0.0000 x2
Pt1 0.0000 0.0000 0.5000 x1
I1 0.5000 0.5000 0.5000 x1

Properties
Uncorrected energy: -4.211 eV/atom
V: 24.6 Å³/atom



(7)
VASP calculation (PBE) on a relaxed SmHo2Zn crystal.

Cell: 3.5947 3.5947 30.7550 Å, 90.00 90.00 120.00°
Space group R3m (No. 160, hexagonal axes)
Symmetry-distinct sites (fractional):
Sm1 0.0000 0.0000 0.0000 x3
Ho1 0.0000 0.0000 0.5705 x3
Ho2 0.0000 0.0000 0.7619 x3
Zn1 0.0000 0.0000 0.1658 x3

Properties
Uncorrected energy: -3.843 eV/atom
Distance to the lowest polymorph of the same formula: 107 meV per atom
V: 28.7 Å³/atom
DFT formation energy: -0.056 eV per atom



(8)
VASP calculation (PBE) on a relaxed CaDyInAu crystal.

Cell: 3.6895 3.6895 7.5999 Å, 90.00 90.00 90.00°
Space group P4mm (No. 99)
Symmetry-distinct sites (fractional):
Ca1 0.0000 0.0000 0.0000 x1
Dy1 0.0000 0.0000 0.4611 x1
In1 0.5000 0.5000 0.7233 x1
Au1 0.5000 0.5000 0.2573 x1

Properties
Uncorrected energy: -3.812 eV/atom
Distance to the lowest polymorph of the same formula: 0 meV per atom
V: 25.9 Å³/atom
DFT formation energy: -0.657 eV per atom